# Sr2LiIrSe6 PBE-GGA relaxed
# - V: 23.82 Å³ per atom
# - Distance to the lowest polymorph of the same formula: 2 meV/atom
# - Total energy: -4.399 eV/atom
data_Sr2LiIrSe6
_space_group_name_H-M_alt 'P 1'
_space_group_IT_number 1
_cell_length_a 5.894
_cell_length_b 6.771
_cell_length_c 7.162
_cell_angle_alpha 71.62
_cell_angle_beta 66.11
_cell_angle_gamma 68.35
loop_
_space_group_symop_operation_xyz
'x,y,z'
loop_
_atom_site_label
_atom_site_type_symbol
_atom_site_fract_x
_atom_site_fract_y
_atom_site_fract_z
_atom_site_occupancy
Sr1 Sr 0.249 0.223 0.262 1
Sr2 Sr 0.751 0.777 0.738 1
Li1 Li 0.000 0.000 0.000 1
Ir1 Ir 0.500 0.500 0.500 1
Se1 Se 0.173 0.329 0.791 1
Se2 Se 0.267 0.851 0.648 1
Se3 Se 0.324 0.689 0.202 1
Se4 Se 0.676 0.311 0.798 1
Se5 Se 0.733 0.149 0.352 1
Se6 Se 0.827 0.671 0.209 1

# Sr2LiIrSe6 PBE-GGA relaxed
# - V: 23.90 Å³ per atom
# - Distance to the lowest polymorph of the same formula: 0 meV/atom
# - Total energy: -4.401 eV/atom
data_Sr2LiIrSe6
_space_group_name_H-M_alt 'P 1'
_space_group_IT_number 1
_cell_length_a 7.078
_cell_length_b 7.078
_cell_length_c 8.193
_cell_angle_alpha 125.26
_cell_angle_beta 125.26
_cell_angle_gamma 48.83
loop_
_space_group_symop_operation_xyz
'x,y,z'
loop_
_atom_site_label
_atom_site_type_symbol
_atom_site_fract_x
_atom_site_fract_y
_atom_site_fract_z
_atom_site_occupancy
Sr1 Sr 0.249 0.249 0.228 1
Sr2 Sr 0.751 0.751 0.772 1
Li1 Li 0.000 0.000 0.500 1
Ir1 Ir 0.500 0.500 0.000 1
Se1 Se 0.190 0.688 0.700 1
Se2 Se 0.254 0.254 0.855 1
Se3 Se 0.312 0.810 0.300 1
Se4 Se 0.688 0.190 0.700 1
Se5 Se 0.746 0.746 0.145 1
Se6 Se 0.810 0.312 0.300 1

# Li2TlIrSe4 PBE-GGA relaxed
# - V: 26.77 Å³ per atom
# - Total energy: -4.017 eV/atom
data_Li2TlIrSe4
_space_group_name_H-M_alt 'P 1'
_space_group_IT_number 1
_cell_length_a 7.327
_cell_length_b 7.327
_cell_length_c 7.327
_cell_angle_alpha 131.80
_cell_angle_beta 131.80
_cell_angle_gamma 70.54
loop_
_space_group_symop_operation_xyz
'x,y,z'
loop_
_atom_site_label
_atom_site_type_symbol
_atom_site_fract_x
_atom_site_fract_y
_atom_site_fract_z
_atom_site_occupancy
Li1 Li 0.000 0.000 0.000 1
Li2 Li 0.750 0.250 0.500 1
Tl1 Tl 0.500 0.500 0.000 1
Ir1 Ir 0.250 0.750 0.500 1
Se1 Se 0.102 0.068 0.453 1
Se2 Se 0.351 0.898 0.966 1
Se3 Se 0.615 0.649 0.547 1
Se4 Se 0.932 0.385 0.034 1

# LiSi5Ir3 PBE-GGA relaxed
# - V: 17.00 Å³ per atom
# - Total energy: -6.255 eV/atom
data_LiSi5Ir3
_space_group_name_H-M_alt 'P 1'
_space_group_IT_number 1
_cell_length_a 5.403
_cell_length_b 5.403
_cell_length_c 6.052
_cell_angle_alpha 90.00
_cell_angle_beta 90.00
_cell_angle_gamma 120.00
loop_
_space_group_symop_operation_xyz
'x,y,z'
loop_
_atom_site_label
_atom_site_type_symbol
_atom_site_fract_x
_atom_site_fract_y
_atom_site_fract_z
_atom_site_occupancy
Li1 Li 0.000 0.000 0.000 1
Si1 Si 0.000 0.000 0.500 1
Si2 Si 0.333 0.667 0.190 1
Si3 Si 0.333 0.667 0.810 1
Si4 Si 0.667 0.333 0.190 1
Si5 Si 0.667 0.333 0.810 1
Ir1 Ir 0.000 0.500 0.500 1
Ir2 Ir 0.500 0.000 0.500 1
Ir3 Ir 0.500 0.500 0.500 1

# Li2Zn2SiSnIr2 PBE-GGA relaxed
# - V: 14.38 Å³ per atom
# - Total energy: -4.583 eV/atom
data_Li2Zn2SiSnIr2
_space_group_name_H-M_alt 'P 1'
_space_group_IT_number 1
_cell_length_a 4.255
_cell_length_b 4.255
_cell_length_c 6.353
_cell_angle_alpha 90.00
_cell_angle_beta 90.00
_cell_angle_gamma 90.00
loop_
_space_group_symop_operation_xyz
'x,y,z'
loop_
_atom_site_label
_atom_site_type_symbol
_atom_site_fract_x
_atom_site_fract_y
_atom_site_fract_z
_atom_site_occupancy
Li1 Li 0.000 0.500 0.228 1
Li2 Li 0.500 0.000 0.772 1
Zn1 Zn 0.000 0.000 0.000 1
Zn2 Zn 0.500 0.500 0.500 1
Si1 Si 0.500 0.500 0.000 1
Sn1 Sn 0.000 0.000 0.500 1
Ir1 Ir 0.000 0.500 0.778 1
Ir2 Ir 0.500 0.000 0.222 1

# Li4ZnSiIr2 PBE-GGA relaxed
# - V: 12.81 Å³ per atom
# - Total energy: -4.413 eV/atom
data_Li4ZnSiIr2
_space_group_name_H-M_alt 'P 1'
_space_group_IT_number 1
_cell_length_a 4.180
_cell_length_b 4.180
_cell_length_c 5.863
_cell_angle_alpha 90.00
_cell_angle_beta 90.00
_cell_angle_gamma 90.00
loop_
_space_group_symop_operation_xyz
'x,y,z'
loop_
_atom_site_label
_atom_site_type_symbol
_atom_site_fract_x
_atom_site_fract_y
_atom_site_fract_z
_atom_site_occupancy
Li1 Li 0.000 0.000 0.000 1
Li2 Li 0.000 0.500 0.748 1
Li3 Li 0.500 0.000 0.252 1
Li4 Li 0.500 0.500 0.500 1
Zn1 Zn 0.000 0.000 0.500 1
Si1 Si 0.500 0.500 0.000 1
Ir1 Ir 0.000 0.500 0.222 1
Ir2 Ir 0.500 0.000 0.778 1

# LiZn2Si2Ir3 PBE-GGA relaxed
# - V: 14.25 Å³ per atom
# - Total energy: -5.505 eV/atom
data_LiZn2Si2Ir3
_space_group_name_H-M_alt 'P 1'
_space_group_IT_number 1
_cell_length_a 4.103
_cell_length_b 4.103
_cell_length_c 7.819
_cell_angle_alpha 90.00
_cell_angle_beta 90.00
_cell_angle_gamma 120.00
loop_
_space_group_symop_operation_xyz
'x,y,z'
loop_
_atom_site_label
_atom_site_type_symbol
_atom_site_fract_x
_atom_site_fract_y
_atom_site_fract_z
_atom_site_occupancy
Li1 Li 0.000 0.000 0.000 1
Zn1 Zn 0.667 0.333 0.138 1
Zn2 Zn 0.667 0.333 0.793 1
Si1 Si 0.000 0.000 0.642 1
Si2 Si 0.333 0.667 0.270 1
Ir1 Ir 0.000 0.000 0.344 1
Ir2 Ir 0.333 0.667 0.583 1
Ir3 Ir 0.333 0.667 0.961 1

# LiZn4Si2Ir PBE-GGA relaxed
# - V: 14.80 Å³ per atom
# - Total energy: -3.445 eV/atom
data_LiZn4Si2Ir
_space_group_name_H-M_alt 'P 1'
_space_group_IT_number 1
_cell_length_a 4.122
_cell_length_b 4.122
_cell_length_c 8.047
_cell_angle_alpha 90.00
_cell_angle_beta 90.00
_cell_angle_gamma 120.00
loop_
_space_group_symop_operation_xyz
'x,y,z'
loop_
_atom_site_label
_atom_site_type_symbol
_atom_site_fract_x
_atom_site_fract_y
_atom_site_fract_z
_atom_site_occupancy
Li1 Li 0.000 0.000 0.000 1
Zn1 Zn 0.000 0.000 0.324 1
Zn2 Zn 0.000 0.000 0.676 1
Zn3 Zn 0.333 0.667 0.165 1
Zn4 Zn 0.333 0.667 0.835 1
Si1 Si 0.667 0.333 0.000 1
Si2 Si 0.667 0.333 0.500 1
Ir1 Ir 0.333 0.667 0.500 1

Number 1 is which compound? Sr2LiIrSe6

What is the V in the fourth record? 17.00 Å³ per atom